Record 1
# AgTe3

A relaxed AgTe3 crystal (PBE, OQMD).

Output
Uncorrected energy, eV per atom: -2.980

POSCAR file:
```
AgTe3
1.0
3.829 -3.626 0.000
3.829 3.626 0.000
-0.741 0.000 4.889
Ag Te
1 3
direct
0.000 0.000 0.000 Ag
0.474 0.003 0.762 Te
0.498 0.502 0.500 Te
0.997 0.526 0.238 Te
```

---

Record 2
# Ag2Te

A relaxed Ag2Te crystal (PBE, OQMD).

Output
Uncorrected energy, eV per atom: -2.976

POSCAR file:
```
Ag2Te
1.0
7.898 0.000 0.000
0.000 4.657 0.000
-4.621 0.000 7.353
Ag Te
8 4
direct
0.019 0.146 0.369 Ag
0.019 0.354 0.869 Ag
0.332 0.672 0.484 Ag
0.332 0.828 0.984 Ag
0.668 0.172 0.016 Ag
0.668 0.328 0.516 Ag
0.981 0.646 0.131 Ag
0.981 0.854 0.631 Ag
0.279 0.150 0.238 Te
0.279 0.350 0.738 Te
0.721 0.650 0.262 Te
0.721 0.850 0.762 Te
```

---

Record 3
# Ag7Te4

A relaxed Ag7Te4 crystal (PBE, OQMD).

Output
Uncorrected energy, eV per atom: -2.758

POSCAR file:
```
Ag7Te4
1.0
13.467 0.000 0.000
-6.733 11.663 0.000
0.000 0.000 8.764
Ag Te
35 20
direct
0.000 0.000 0.153 Ag
0.000 0.000 0.847 Ag
0.000 0.500 0.000 Ag
0.122 0.243 0.000 Ag
0.122 0.878 0.000 Ag
0.124 0.461 0.500 Ag
0.124 0.663 0.500 Ag
0.243 0.122 0.000 Ag
0.252 0.503 0.230 Ag
0.252 0.503 0.770 Ag
0.252 0.748 0.230 Ag
0.252 0.748 0.770 Ag
0.337 0.461 0.500 Ag
0.337 0.876 0.500 Ag
0.461 0.124 0.500 Ag
0.461 0.337 0.500 Ag
0.497 0.748 0.230 Ag
0.497 0.748 0.770 Ag
0.500 0.000 0.000 Ag
0.500 0.500 0.000 Ag
0.503 0.252 0.230 Ag
0.503 0.252 0.770 Ag
0.539 0.663 0.500 Ag
0.539 0.876 0.500 Ag
0.663 0.124 0.500 Ag
0.663 0.539 0.500 Ag
0.748 0.252 0.230 Ag
0.748 0.252 0.770 Ag
0.748 0.497 0.230 Ag
0.748 0.497 0.770 Ag
0.757 0.878 0.000 Ag
0.876 0.337 0.500 Ag
0.876 0.539 0.500 Ag
0.878 0.122 0.000 Ag
0.878 0.757 0.000 Ag
0.000 0.207 0.500 Te
0.000 0.341 0.195 Te
0.000 0.341 0.805 Te
0.000 0.659 0.195 Te
0.000 0.659 0.805 Te
0.000 0.793 0.500 Te
0.207 0.000 0.500 Te
0.207 0.207 0.500 Te
0.333 0.667 0.000 Te
0.341 0.000 0.195 Te
0.341 0.000 0.805 Te
0.341 0.341 0.195 Te
0.341 0.341 0.805 Te
0.659 0.000 0.195 Te
0.659 0.000 0.805 Te
0.659 0.659 0.195 Te
0.659 0.659 0.805 Te
0.667 0.333 0.000 Te
0.793 0.000 0.500 Te
0.793 0.793 0.500 Te
```

---

Record 4
# Ag15Te

A relaxed Ag15Te crystal (PBE, OQMD).

Output
Uncorrected energy, eV per atom: -2.821

POSCAR file:
```
Ag15Te
1.0
4.980 0.000 0.000
0.000 31.890 0.000
-1.587 0.000 4.725
Ag Te
30 2
direct
0.000 0.023 0.250 Ag
0.000 0.070 0.750 Ag
0.000 0.116 0.250 Ag
0.000 0.163 0.750 Ag
0.000 0.210 0.250 Ag
0.000 0.256 0.750 Ag
0.000 0.304 0.250 Ag
0.000 0.351 0.750 Ag
0.000 0.649 0.250 Ag
0.000 0.696 0.750 Ag
0.000 0.744 0.250 Ag
0.000 0.790 0.750 Ag
0.000 0.837 0.250 Ag
0.000 0.884 0.750 Ag
0.000 0.930 0.250 Ag
0.000 0.977 0.750 Ag
0.500 0.023 0.750 Ag
0.500 0.070 0.250 Ag
0.500 0.117 0.750 Ag
0.500 0.163 0.250 Ag
0.500 0.210 0.750 Ag
0.500 0.257 0.250 Ag
0.500 0.305 0.750 Ag
0.500 0.695 0.250 Ag
0.500 0.743 0.750 Ag
0.500 0.790 0.250 Ag
0.500 0.837 0.750 Ag
0.500 0.883 0.250 Ag
0.500 0.930 0.750 Ag
0.500 0.977 0.250 Ag
0.500 0.359 0.250 Te
0.500 0.641 0.750 Te
```